[1]
Density functional theory data (GGA-PBE) for a relaxed CsOsCl4 crystal.

Unit cell a=17.9916 b=7.5776 c=5.2042 alpha=90.00 beta=104.30 gamma=90.00
Last column: nearest neighbours and their distance in Å.
Space group C2/m (No. 12)
Inequivalent atoms, fractional coordinates:
Cs  0.1972  0.0000  0.1873 x4  10 Cl 3.44-3.82
Os  0.0449  0.5000  0.3721 x4  1 Os 2.33, 4 Cl 2.34-2.42
Cl  0.0000  0.3025  0.0000 x4  2 Os 2.42
Cl  0.1125  0.2631  0.6085 x8  1 Os 2.34
Cl  0.1732  0.5000  0.2025 x4  1 Os 2.67

Values from the calculation:
ΔE_f (raw) (meV per atom): -834
Magnetic moment (μB per formula unit): 0.000
Mass density (g/cm³): 4.49



[2]
Density functional theory data (GGA-PBE) for a relaxed PmThIr2 crystal.

Unit cell a=5.8255 b=5.8273 c=12.9935 alpha=90.00 beta=116.60 gamma=90.00
Last column: nearest neighbours and their distance in Å.
Space group P2/c (No. 13)
Inequivalent atoms, fractional coordinates:
Pm  0.1267  0.2466  0.1269 x4  6 Ir 2.91-2.97
Th  0.3724  0.2526  0.8732 x4  6 Ir 2.84-2.92
Ir  0.1293  0.2533  0.6287 x4  3 Th 2.84-2.91, 3 Pm 2.91-2.97
Ir  0.3821  0.2477  0.3819 x4  3 Th 2.85-2.92, 3 Pm 2.91-2.96

Values from the calculation:
Relative energy among the computed polymorphs (eV per atom): 0.147
Magnetic moment (μB per formula unit): 0.000
Mass density (g/cm³): 12.82
Calculated formation energy (eV per atom): -0.697



What is the mass density in the second record? 12.82 g/cm³



Which value of magnetic moment does entry 2 give? 0.000 μB per formula unit



Copy entry 1 word for word.
Density functional theory data (GGA-PBE) for a relaxed CsOsCl4 crystal.

Unit cell a=17.9916 b=7.5776 c=5.2042 alpha=90.00 beta=104.30 gamma=90.00
Last column: nearest neighbours and their distance in Å.
Space group C2/m (No. 12)
Inequivalent atoms, fractional coordinates:
Cs  0.1972  0.0000  0.1873 x4  10 Cl 3.44-3.82
Os  0.0449  0.5000  0.3721 x4  1 Os 2.33, 4 Cl 2.34-2.42
Cl  0.0000  0.3025  0.0000 x4  2 Os 2.42
Cl  0.1125  0.2631  0.6085 x8  1 Os 2.34
Cl  0.1732  0.5000  0.2025 x4  1 Os 2.67

Values from the calculation:
ΔE_f (raw) (meV per atom): -834
Magnetic moment (μB per formula unit): 0.000
Mass density (g/cm³): 4.49